No. 1
The following is a DFT calculation (GGA-PBE) of a relaxed ZnIN2 crystal.

a b c (Å): 4.6691 4.6691 11.4234
angles (deg): 90.00 90.00 90.00
Element x y z (fractional)
Zn 0.0000 0.0000 0.0000
Zn 0.0000 0.5000 0.2500
Zn 0.5000 0.0000 0.7500
Zn 0.5000 0.5000 0.5000
I 0.0000 0.0000 0.5000
I 0.0000 0.5000 0.7500
I 0.5000 0.0000 0.2500
I 0.5000 0.5000 0.0000
N 0.2321 0.2500 0.1250
N 0.2500 0.7321 0.3750
N 0.2500 0.7679 0.8750
N 0.2679 0.2500 0.6250
N 0.7321 0.7500 0.6250
N 0.7500 0.2321 0.8750
N 0.7500 0.2679 0.3750
N 0.7679 0.7500 0.1250

Results
SG = I-42d
crystal system = tetragonal
E above lowest polymorph = 90 meV/atom

***

No. 2
The following is a DFT calculation (GGA-PBE) of a relaxed Zn3I2N crystal.

a b c (Å): 5.7216 8.2125 8.2464
angles (deg): 77.18 89.97 89.86
Element x y z (fractional)
Zn 0.9999 0.1280 0.3718
Zn 0.0001 0.8720 0.6282
Zn 0.2490 0.2105 0.7143
Zn 0.4989 0.1277 0.3719
Zn 0.5011 0.8723 0.6281
Zn 0.7510 0.7895 0.2857
I 0.2495 0.1635 0.0760
I 0.2516 0.5763 0.6654
I 0.7484 0.4237 0.3346
I 0.7505 0.8365 0.9240
N 0.2495 0.0609 0.5603
N 0.7505 0.9391 0.4397

Results
SG = P-1
crystal system = triclinic

***

Record order is preserved below.
Uncorrected energy: -3.5827 -2.5616 eV/atom
Record order is preserved below.
Raw formation energy: 1.286 -0.020 eV/atom